# 1
A plane-wave DFT calculation with PBE-GGA was carried out for a relaxed CeSm5Zn6 crystal.

The value obtained for the energy of formation from the pure elements is -0.289 eV/atom. Its size of the total moment is 1.2 μB/cell. The final energy is -3.387 eV/atom. The density is 7.38 g/cm3. The calculation puts the volume at 24.09 A^3/atom.

Cell: 5.1390 7.2906 8.1275 Å, 90.00 108.32 90.00°
Element x y z (fractional)
Ce  0.0000  0.0000  0.0000
Sm  0.0000  0.5000  0.0000
Sm  0.3344  0.0000  0.6689
Sm  0.3347  0.5000  0.6696
Sm  0.6653  0.5000  0.3304
Sm  0.6656  0.0000  0.3311
Zn  0.1670  0.2509  0.3342
Zn  0.1670  0.7491  0.3342
Zn  0.5000  0.2511  0.0000
Zn  0.5000  0.7489  0.0000
Zn  0.8330  0.2509  0.6658
Zn  0.8330  0.7491  0.6658


# 2
A plane-wave DFT calculation with PBE-GGA was carried out for a relaxed Bi4Pd5Rh crystal.

The value obtained for the energy of formation from the pure elements is -0.067 eV/atom. Its size of the total moment is 0.0 μB/cell. The final energy is -4.951 eV/atom. The density is 10.99 g/cm3. The calculation puts the volume at 22.23 A^3/atom.

Cell: 7.5899 7.5899 8.4708 Å, 109.09 109.09 28.95°
Element x y z (fractional)
Bi  0.0131  0.0131  0.2499
Bi  0.3017  0.3017  0.8877
Bi  0.6983  0.6983  0.1123
Bi  0.9869  0.9869  0.7501
Pd  0.1377  0.1377  0.6107
Pd  0.2197  0.2197  0.3655
Pd  0.5000  0.5000  0.5000
Pd  0.7803  0.7803  0.6345
Pd  0.8623  0.8623  0.3893
Rh  0.5000  0.5000  0.0000